Entry 1:
DFT (PBE-GGA) results for a relaxed Cd2BiSb crystal.

Cell and atoms, written as CIF:
```
data_Cd2BiSb
_chemical_formula_sum 'Cd2 Bi1 Sb1'
_cell_length_a 4.718
_cell_length_b 4.718
_cell_length_c 6.739
_cell_angle_alpha 69.51
_cell_angle_beta 69.51
_cell_angle_gamma 60.00
_space_group_name_H-M_alt 'P 1'
_space_group_IT_number 1
loop_
_space_group_symop_operation_xyz
'x,y,z'
loop_
_atom_site_label
_atom_site_type_symbol
_atom_site_fract_x
_atom_site_fract_y
_atom_site_fract_z
Cd1 Cd 0.076 0.076 0.773
Cd2 Cd 0.253 0.253 0.242
Bi1 Bi 0.499 0.499 0.502
Sb1 Sb 0.672 0.672 0.983
```

- D(E_F) (states/eV per cell) = 2.2
- uncorrected formation energy (kJ/mol of atoms) = 9
- total moment (μB per formula unit) = 0.00
- density (g cm⁻³) = 7.8


Entry 2:
DFT (PBE-GGA) results for a relaxed NaTa2S4 crystal.

Cell and atoms, written as CIF:
```
data_NaTa2S4
_chemical_formula_sum 'Na2 Ta4 S8'
_cell_length_a 3.604
_cell_length_b 6.215
_cell_length_c 12.493
_cell_angle_alpha 90.00
_cell_angle_beta 90.00
_cell_angle_gamma 106.86
_space_group_name_H-M_alt 'P 1'
_space_group_IT_number 1
loop_
_space_group_symop_operation_xyz
'x,y,z'
loop_
_atom_site_label
_atom_site_type_symbol
_atom_site_fract_x
_atom_site_fract_y
_atom_site_fract_z
Na1 Na 0.622 0.244 0.750
Na2 Na 0.378 0.756 0.250
Ta1 Ta 0.118 0.236 0.435
Ta2 Ta 0.882 0.764 0.935
Ta3 Ta 0.118 0.236 0.065
Ta4 Ta 0.882 0.764 0.565
S1 S 0.767 0.533 0.106
S2 S 0.767 0.533 0.394
S3 S 0.233 0.467 0.894
S4 S 0.233 0.467 0.606
S5 S 0.935 0.869 0.750
S6 S 0.065 0.131 0.250
S7 S 0.500 0.000 0.000
S8 S 0.500 0.000 0.500
```

- D(E_F) (states/eV per cell) = 5.3
- uncorrected formation energy (kJ/mol of atoms) = -88
- total moment (μB per formula unit) = 0.00
- ΔE to the lowest computed polymorph (meV per atom) = 163
- density (g cm⁻³) = 6.4


Entry 3:
DFT (PBE-GGA) results for a relaxed Mg2Si3 crystal.

Cell and atoms, written as CIF:
```
data_Mg2Si3
_chemical_formula_sum 'Mg8 Si12'
_cell_length_a 5.258
_cell_length_b 5.258
_cell_length_c 19.717
_cell_angle_alpha 80.64
_cell_angle_beta 80.64
_cell_angle_gamma 43.46
_space_group_name_H-M_alt 'P 1'
_space_group_IT_number 1
loop_
_space_group_symop_operation_xyz
'x,y,z'
loop_
_atom_site_label
_atom_site_type_symbol
_atom_site_fract_x
_atom_site_fract_y
_atom_site_fract_z
Mg1 Mg 0.491 0.491 0.174
Mg2 Mg 0.696 0.696 0.809
Mg3 Mg 0.933 0.933 0.046
Mg4 Mg 0.261 0.261 0.944
Mg5 Mg 0.026 0.026 0.706
Mg6 Mg 0.583 0.583 0.319
Mg7 Mg 0.940 0.940 0.544
Mg8 Mg 0.671 0.671 0.464
Si1 Si 0.649 0.649 0.045
Si2 Si 0.547 0.547 0.945
Si3 Si 0.227 0.227 0.118
Si4 Si 0.979 0.979 0.875
Si5 Si 0.321 0.321 0.703
Si6 Si 0.278 0.278 0.356
Si7 Si 0.205 0.205 0.564
Si8 Si 0.386 0.386 0.456
Si9 Si 0.723 0.723 0.646
Si10 Si 0.887 0.887 0.287
Si11 Si 0.771 0.771 0.189
Si12 Si 0.407 0.407 0.809
```

- D(E_F) (states/eV per cell) = 4.4
- uncorrected formation energy (kJ/mol of atoms) = 11
- total moment (μB per formula unit) = 0.00
- ΔE to the lowest computed polymorph (meV per atom) = 80
- density (g cm⁻³) = 2.4


Entry 4:
DFT (PBE-GGA) results for a relaxed Tb3Nd7Y2 crystal.

Cell and atoms, written as CIF:
```
data_Tb3Nd7Y2
_chemical_formula_sum 'Tb3 Nd7 Y2'
_cell_length_a 3.581
_cell_length_b 6.500
_cell_length_c 18.211
_cell_angle_alpha 75.10
_cell_angle_beta 90.00
_cell_angle_gamma 90.00
_space_group_name_H-M_alt 'P 1'
_space_group_IT_number 1
loop_
_space_group_symop_operation_xyz
'x,y,z'
loop_
_atom_site_label
_atom_site_type_symbol
_atom_site_fract_x
_atom_site_fract_y
_atom_site_fract_z
Tb1 Tb 0.500 0.500 0.000
Tb2 Tb 0.000 0.114 0.340
Tb3 Tb 0.000 0.886 0.660
Nd1 Nd 0.500 0.237 0.505
Nd2 Nd 0.500 0.763 0.495
Nd3 Nd 0.000 0.557 0.167
Nd4 Nd 0.000 0.000 0.000
Nd5 Nd 0.000 0.443 0.833
Nd6 Nd 0.500 0.946 0.829
Nd7 Nd 0.500 0.054 0.171
Y1 Y 0.500 0.612 0.330
Y2 Y 0.500 0.388 0.670
```

- D(E_F) (states/eV per cell) = 18.1
- formation energy from the elements (eV per atom) = 0.070
- total moment (μB per formula unit) = 0.00
- ΔE to the lowest computed polymorph (meV per atom) = 0
- density (g cm⁻³) = 6.7


What did the first record say?
DFT (PBE-GGA) results for a relaxed Cd2BiSb crystal.

Cell and atoms, written as CIF:
```
data_Cd2BiSb
_chemical_formula_sum 'Cd2 Bi1 Sb1'
_cell_length_a 4.718
_cell_length_b 4.718
_cell_length_c 6.739
_cell_angle_alpha 69.51
_cell_angle_beta 69.51
_cell_angle_gamma 60.00
_space_group_name_H-M_alt 'P 1'
_space_group_IT_number 1
loop_
_space_group_symop_operation_xyz
'x,y,z'
loop_
_atom_site_label
_atom_site_type_symbol
_atom_site_fract_x
_atom_site_fract_y
_atom_site_fract_z
Cd1 Cd 0.076 0.076 0.773
Cd2 Cd 0.253 0.253 0.242
Bi1 Bi 0.499 0.499 0.502
Sb1 Sb 0.672 0.672 0.983
```

- D(E_F) (states/eV per cell) = 2.2
- uncorrected formation energy (kJ/mol of atoms) = 9
- total moment (μB per formula unit) = 0.00
- density (g cm⁻³) = 7.8